Below is crystalline K2CrTe at its relaxed geometry, with properties calculated at the PBE level.

Cell: 6.9150 6.9150 6.9150 Å, 141.59 132.11 62.99°
Last column: nearest neighbours and their distance in Å.
Fractional coordinates of all 4 atoms:
K 0.0198 0.0198 0.0000  2 K 3.68, 4 Te 3.71, 4 Cr 3.73-4.12
K 0.7220 0.2220 0.5000  2 K 3.68, 4 Cr 3.76, 4 Te 3.86-3.96
Cr 0.3114 0.8114 0.5000  2 Te 2.78
Te 0.4467 0.4467 0.0000  2 Cr 2.78

Output
E_form (uncorrected) = -41 meV/atom

---

Below is crystalline KCrTe at its relaxed geometry, with properties calculated at the PBE level.

Cell: 6.8609 6.8610 4.0187 Å, 72.97 72.97 34.06°
Last column: nearest neighbours and their distance in Å.
Fractional coordinates of all 3 atoms:
K 0.3287 0.3287 0.6713  1 Cr 3.28, 1 Te 3.45
Te 0.6050 0.6050 0.3950  4 Cr 2.88
Cr 0.0663 0.0663 0.9337  4 Te 2.88

Output
E_form (uncorrected) = -7 meV/atom
Relative energy among the computed polymorphs = 196 meV per atom

---

Below is crystalline KCrTe3 at its relaxed geometry, with properties calculated at the PBE level.

Cell: 4.0685 5.2903 7.2246 Å, 90.00 90.00 90.00°
Last column: nearest neighbours and their distance in Å.
Fractional coordinates of all 5 atoms:
Te 0.5000 0.0000 0.2508  2 Cr 2.72
Te 0.0000 0.5000 0.0000  2 Cr 2.65
Te 0.5000 0.0000 0.7492  2 Cr 2.72
Cr 0.0000 0.0000 0.0000  6 Te 2.65-2.72
K 0.0000 0.5000 0.5000  10 Te 3.61-3.79

Output
E_form (uncorrected) = -296 meV/atom
Relative energy among the computed polymorphs = 0 meV per atom

---

> The highest E_form (uncorrected) belongs to which entry?

KCrTe

---

> E_form (uncorrected) of number 1 (K2CrTe)?

-41 meV/atom